Entry from Alexandria: a relaxed K3Ac3HfO8 crystal (PBE).

Cell: 7.6635 7.6635 7.6635 Å, 57.91 57.91 57.91°
Fractional positions:
K 0.0000 0.5000 0.5000
K 0.5000 0.0000 0.5000
K 0.5000 0.5000 0.0000
Ac 0.0000 0.0000 0.5000
Ac 0.0000 0.5000 0.0000
Ac 0.5000 0.0000 0.0000
Hf 0.5000 0.5000 0.5000
O 0.2326 0.2326 0.2326
O 0.2710 0.7018 0.7018
O 0.2982 0.2982 0.7290
O 0.2982 0.7290 0.2982
O 0.7018 0.2710 0.7018
O 0.7018 0.7018 0.2710
O 0.7290 0.2982 0.2982
O 0.7674 0.7674 0.7674

## Properties
- Symmetry: R-3m (166)
- DOS(E_F): 0.0 states/eV per cell
- Total energy: -7.107 eV/atom
- Formation energy without anion corrections: -2.76 eV per atom
- Density: 6.1 g/cm3


Entry from Alexandria: a relaxed Tb3InP2Rh9 crystal (PBE).

Cell: 6.0474 6.0474 9.4562 Å, 90.00 90.00 120.00°
Fractional positions:
Tb 0.0000 0.0000 0.0000
Tb 0.3333 0.6667 0.7302
Tb 0.6667 0.3333 0.2698
In 0.0000 0.0000 0.5000
P 0.3333 0.6667 0.1582
P 0.6667 0.3333 0.8418
Rh 0.0000 0.5000 0.0000
Rh 0.1483 0.2967 0.2620
Rh 0.1483 0.8517 0.2620
Rh 0.2967 0.1483 0.7380
Rh 0.5000 0.0000 0.0000
Rh 0.5000 0.5000 0.0000
Rh 0.7033 0.8517 0.2620
Rh 0.8517 0.1483 0.7380
Rh 0.8517 0.7033 0.7380

## Properties
- Symmetry: P-3m1 (164)
- E_form: -0.62 eV/atom
- DOS(E_F): 8.3 states/eV per cell
- Total energy: -6.864 eV/atom
- Density: 8.8 g/cm3


Entry from Alexandria: a relaxed Er4TiRh5 crystal (PBE).

Cell: 3.2851 3.2851 17.2612 Å, 90.00 90.00 90.00°
Fractional positions:
Er 0.0000 0.0000 0.1026
Er 0.0000 0.0000 0.3078
Er 0.0000 0.0000 0.6922
Er 0.0000 0.0000 0.8974
Ti 0.0000 0.0000 0.5000
Rh 0.5000 0.5000 0.0000
Rh 0.5000 0.5000 0.2066
Rh 0.5000 0.5000 0.4167
Rh 0.5000 0.5000 0.5833
Rh 0.5000 0.5000 0.7934

## Properties
- Symmetry: P4/mmm (123)
- E_form: -0.87 eV/atom
- DOS(E_F): 5.1 states/eV per cell
- Total energy: -7.160 eV/atom
- Density: 11.0 g/cm3


Entry from Alexandria: a relaxed AlIn2BTe crystal (PBE).

Cell: 4.7781 4.7781 5.1192 Å, 90.00 90.00 90.00°
Fractional positions:
Al 0.0000 0.0000 0.0000
In 0.0000 0.5000 0.5000
In 0.5000 0.0000 0.5000
B 0.5000 0.5000 0.5000
Te 0.5000 0.5000 0.0000

## Properties
- Symmetry: P4/mmm (123)
- DOS(E_F): 2.4 states/eV per cell
- Total energy: -3.218 eV/atom
- Formation energy without anion corrections: 0.59 eV per atom
- Density: 5.6 g/cm3


Entry from Alexandria: a relaxed K3In7Pt4 crystal (PBE).

Cell: 9.0359 9.0359 10.2704 Å, 123.01 123.01 29.92°
Fractional positions:
K 0.0000 0.0000 0.0000
K 0.3108 0.3108 0.3050
K 0.6892 0.6892 0.6950
In 0.0000 0.0000 0.5000
In 0.1634 0.1634 0.4279
In 0.3112 0.3112 0.9613
In 0.4998 0.4998 0.2801
In 0.5002 0.5002 0.7199
In 0.6888 0.6888 0.0387
In 0.8366 0.8366 0.5721
Pt 0.1186 0.1186 0.8390
Pt 0.3390 0.3390 0.7139
Pt 0.6610 0.6610 0.2861
Pt 0.8814 0.8814 0.1610

## Properties
- Symmetry: C2/m (12)
- E_form: -0.32 eV/atom
- DOS(E_F): 6.6 states/eV per cell
- Total energy: -3.648 eV/atom
- Density: 8.2 g/cm3


Entry from Alexandria: a relaxed Hf3Sc2S8 crystal (PBE).

Cell: 7.4781 7.4781 6.1872 Å, 105.27 105.27 57.93°
Fractional positions:
Hf 0.0000 0.0000 0.0000
Hf 0.2556 0.7444 0.5000
Hf 0.7444 0.2556 0.5000
Sc 0.2478 0.2478 0.8229
Sc 0.7522 0.7522 0.1771
S 0.1200 0.1200 0.4110
S 0.1216 0.6331 0.0881
S 0.3669 0.8784 0.9119
S 0.3896 0.3896 0.6076
S 0.6104 0.6104 0.3924
S 0.6331 0.1216 0.0881
S 0.8784 0.3669 0.9119
S 0.8800 0.8800 0.5890

## Properties
- Symmetry: C2/m (12)
- DOS(E_F): 6.2 states/eV per cell
- Total energy: -7.432 eV/atom
- Formation energy without anion corrections: -1.62 eV per atom
- Density: 5.2 g/cm3


Entry from Alexandria: a relaxed Cu2Re crystal (PBE).

Cell: 4.5518 4.5518 2.4750 Å, 90.00 90.00 90.00°
Fractional positions:
Cu 0.0000 0.5000 0.0000
Cu 0.5000 0.0000 0.0000
Re 0.0000 0.0000 0.5000

## Properties
- Symmetry: P4/mmm (123)
- E_form: 0.72 eV/atom
- DOS(E_F): 2.3 states/eV per cell
- Total energy: -6.156 eV/atom
- Density: 10.1 g/cm3


Entry from Alexandria: a relaxed CrFe2Mo crystal (PBE).

Cell: 4.8486 4.8486 2.5471 Å, 98.73 98.73 117.67°
Fractional positions:
Cr 0.0000 0.0000 0.0000
Fe 0.0000 0.5000 0.5000
Fe 0.5000 0.0000 0.5000
Mo 0.5000 0.5000 0.0000

## Properties
- Symmetry: C2/m (12)
- E_form: 0.14 eV/atom
- DOS(E_F): 4.1 states/eV per cell
- Total energy: -9.204 eV/atom
- Density: 8.5 g/cm3


Entry from Alexandria: a relaxed Ga2SbTeN crystal (PBE).

Cell: 4.6637 4.6637 4.6721 Å, 90.00 90.00 90.00°
Fractional positions:
Ga 0.0000 0.5000 0.0000
Ga 0.5000 0.0000 0.0000
Sb 0.0000 0.0000 0.5000
Te 0.5000 0.5000 0.5000
N 0.5000 0.5000 0.0000

## Properties
- Symmetry: P4/mmm (123)
- DOS(E_F): 2.3 states/eV per cell
- Total energy: -3.861 eV/atom
- Formation energy without anion corrections: 0.47 eV per atom
- Density: 6.6 g/cm3


Entry from Alexandria: a relaxed ScAgBiRh crystal (PBE).

Cell: 4.8109 4.8109 4.8109 Å, 60.00 60.00 60.00°
Fractional positions:
Sc 0.0000 0.0000 0.0000
Ag 0.2500 0.2500 0.2500
Bi 0.5000 0.5000 0.5000
Rh 0.7500 0.7500 0.7500

## Properties
- Symmetry: F-43m (216)
- E_form: -0.33 eV/atom
- DOS(E_F): 2.9 states/eV per cell
- Total energy: -5.437 eV/atom
- Density: 9.8 g/cm3


Entry from Alexandria: a relaxed La6HgOs2Cl3 crystal (PBE).

Cell: 10.4041 10.4041 9.0733 Å, 105.98 105.98 23.18°
Fractional positions:
La 0.0319 0.0319 0.2731
La 0.3161 0.3161 0.4255
La 0.3355 0.3355 0.8753
La 0.6645 0.6645 0.1247
La 0.6839 0.6839 0.5745
La 0.9681 0.9681 0.7269
Hg 0.5000 0.5000 0.0000
Os 0.1679 0.1679 0.3429
Os 0.8321 0.8321 0.6571
Cl 0.1781 0.1781 0.8496
Cl 0.5000 0.5000 0.5000
Cl 0.8219 0.8219 0.1504

## Properties
- Symmetry: C2/m (12)
- DOS(E_F): 7.8 states/eV per cell
- Total energy: -5.793 eV/atom
- Formation energy without anion corrections: -0.97 eV per atom
- Density: 6.8 g/cm3


Entry from Alexandria: a relaxed La2TlPt crystal (PBE).

Cell: 8.0145 8.0145 7.6501 Å, 90.00 90.00 150.84°
Fractional positions:
La 0.1396 0.8604 0.5023
La 0.1396 0.8604 0.9977
La 0.8604 0.1396 0.0023
La 0.8604 0.1396 0.4977
Tl 0.4996 0.5004 0.2500
Tl 0.5004 0.4996 0.7500
Pt 0.2941 0.7059 0.7500
Pt 0.7059 0.2941 0.2500

## Properties
- Symmetry: Cmcm (63)
- E_form: -0.79 eV/atom
- DOS(E_F): 7.2 states/eV per cell
- Total energy: -5.354 eV/atom
- Density: 9.4 g/cm3


Entry from Alexandria: a relaxed TaSe crystal (PBE).

Cell: 4.4360 4.4360 4.4360 Å, 42.06 42.06 42.06°
Fractional positions:
Ta 0.0000 0.0000 0.0000
Se 0.5000 0.5000 0.5000

## Properties
- Symmetry: R-3m (166)
- DOS(E_F): 1.6 states/eV per cell
- Total energy: -7.780 eV/atom
- Formation energy without anion corrections: -0.11 eV per atom
- Density: 12.2 g/cm3


Entry from Alexandria: a relaxed PrNd3In4 crystal (PBE).

Cell: 3.8823 3.8823 15.5360 Å, 90.00 90.00 90.00°
Fractional positions:
Pr 0.0000 0.0000 0.0000
Nd 0.0000 0.0000 0.2512
Nd 0.0000 0.0000 0.5000
Nd 0.0000 0.0000 0.7488
In 0.5000 0.5000 0.1271
In 0.5000 0.5000 0.3756
In 0.5000 0.5000 0.6244
In 0.5000 0.5000 0.8729

## Properties
- Symmetry: P4/mmm (123)
- E_form: -0.50 eV/atom
- DOS(E_F): 5.0 states/eV per cell
- Total energy: -4.250 eV/atom
- Density: 7.3 g/cm3


Entry from Alexandria: a relaxed PrSm2Er8 crystal (PBE).

Cell: 8.8883 8.8883 6.6453 Å, 99.37 99.37 43.74°
Fractional positions:
Pr 0.0000 0.0000 0.0000
Sm 0.2070 0.2070 0.7960
Sm 0.7930 0.7930 0.2040
Er 0.1738 0.6462 0.5863
Er 0.2429 0.2429 0.3033
Er 0.3538 0.8262 0.4137
Er 0.4129 0.4129 0.0968
Er 0.5871 0.5871 0.9032
Er 0.6462 0.1738 0.5863
Er 0.7571 0.7571 0.6967
Er 0.8262 0.3538 0.4137

## Properties
- Symmetry: C2/m (12)
- E_form: 0.16 eV/atom
- DOS(E_F): 17.6 states/eV per cell
- Total energy: -4.446 eV/atom
- Density: 8.3 g/cm3


Entry from Alexandria: a relaxed La4OsO10 crystal (PBE).

Cell: 6.7881 6.7881 6.7881 Å, 99.93 99.93 130.92°
Fractional positions:
La 0.0996 0.3028 0.4024
La 0.3028 0.9004 0.2032
La 0.6972 0.0996 0.7968
La 0.9004 0.6972 0.5976
Os 0.5000 0.5000 0.0000
O 0.1134 0.1936 0.7361
O 0.1936 0.4575 0.0802
O 0.2500 0.7500 0.5000
O 0.3773 0.1134 0.9198
O 0.4575 0.3773 0.2639
O 0.5425 0.6227 0.7361
O 0.6227 0.8866 0.0802
O 0.7500 0.2500 0.5000
O 0.8064 0.5425 0.9198
O 0.8866 0.8064 0.2639

## Properties
- Symmetry: I4/m (87)
- DOS(E_F): 12.9 states/eV per cell
- Total energy: -7.737 eV/atom
- Formation energy without anion corrections: -2.37 eV per atom
- Density: 7.0 g/cm3


Entry from Alexandria: a relaxed MnW2Cl crystal (PBE).

Cell: 4.7913 4.7913 4.9786 Å, 94.10 94.10 33.93°
Fractional positions:
Mn 0.0000 0.0000 0.0000
W 0.2740 0.2740 0.2615
W 0.5429 0.5429 0.5044
Cl 0.7590 0.7590 0.8626

## Properties
- Symmetry: Cm (8)
- DOS(E_F): 3.1 states/eV per cell
- Total energy: -8.481 eV/atom
- Formation energy without anion corrections: 0.75 eV per atom
- Density: 12.0 g/cm3


Entry from Alexandria: a relaxed TmThScTi crystal (PBE).

Cell: 5.2488 5.2488 5.2488 Å, 60.00 60.00 60.00°
Fractional positions:
Tm 0.0000 0.0000 0.0000
Th 0.5000 0.5000 0.5000
Sc 0.2500 0.2500 0.2500
Ti 0.7500 0.7500 0.7500

## Properties
- Symmetry: F-43m (216)
- E_form: 0.14 eV/atom
- DOS(E_F): 6.6 states/eV per cell
- Total energy: -6.385 eV/atom
- Density: 8.0 g/cm3


Entry from Alexandria: a relaxed K3AcAu2O6 crystal (PBE).

Cell: 6.6184 6.6184 7.4573 Å, 90.00 90.00 120.00°
Fractional positions:
K 0.0000 0.0000 0.0000
K 0.3333 0.6667 0.7612
K 0.6667 0.3333 0.2388
Ac 0.0000 0.0000 0.5000
Au 0.3333 0.6667 0.2747
Au 0.6667 0.3333 0.7253
O 0.1585 0.3169 0.2757
O 0.1585 0.8415 0.2757
O 0.3169 0.1585 0.7243
O 0.6831 0.8415 0.2757
O 0.8415 0.1585 0.7243
O 0.8415 0.6831 0.7243

## Properties
- Symmetry: P-3m1 (164)
- DOS(E_F): 9.0 states/eV per cell
- Total energy: -4.725 eV/atom
- Formation energy without anion corrections: -1.08 eV per atom
- Density: 4.9 g/cm3


Entry from Alexandria: a relaxed Ba2Ni2Pt crystal (PBE).

Cell: 7.1236 7.1236 4.6180 Å, 90.00 90.00 90.00°
Fractional positions:
Ba 0.1884 0.3116 0.0000
Ba 0.3116 0.8116 0.0000
Ba 0.6884 0.1884 0.0000
Ba 0.8116 0.6884 0.0000
Ni 0.1202 0.6202 0.5000
Ni 0.3798 0.1202 0.5000
Ni 0.6202 0.8798 0.5000
Ni 0.8798 0.3798 0.5000
Pt 0.0000 0.0000 0.5000
Pt 0.5000 0.5000 0.5000

## Properties
- Symmetry: P4/mbm (127)
- E_form: -0.04 eV/atom
- DOS(E_F): 5.1 states/eV per cell
- Total energy: -4.328 eV/atom
- Density: 8.3 g/cm3


Entry from Alexandria: a relaxed ZnOsRhI2 crystal (PBE).

Cell: 5.2611 5.2611 4.7504 Å, 90.00 90.00 90.00°
Fractional positions:
Zn 0.0000 0.0000 0.0000
Os 0.5000 0.5000 0.5000
Rh 0.0000 0.0000 0.5000
I 0.0000 0.5000 0.0000
I 0.5000 0.0000 0.0000

## Properties
- Symmetry: P4/mmm (123)
- DOS(E_F): 2.6 states/eV per cell
- Total energy: -2.819 eV/atom
- Formation energy without anion corrections: 1.77 eV per atom
- Density: 7.7 g/cm3


Entry from Alexandria: a relaxed Hf2FeCoAs crystal (PBE).

Cell: 4.7291 4.7291 4.1781 Å, 90.00 90.00 90.00°
Fractional positions:
Hf 0.0000 0.5000 0.0000
Hf 0.5000 0.0000 0.0000
Fe 0.0000 0.0000 0.5000
Co 0.5000 0.5000 0.0000
As 0.5000 0.5000 0.5000

## Properties
- Symmetry: P4/mmm (123)
- E_form: 0.47 eV/atom
- DOS(E_F): 6.2 states/eV per cell
- Total energy: -7.556 eV/atom
- Density: 9.7 g/cm3


Entry from Alexandria: a relaxed BaBe2Br crystal (PBE).

Cell: 5.5272 5.5272 5.5272 Å, 134.41 109.05 88.50°
Fractional positions:
Ba 0.0000 0.0000 0.0000
Be 0.3705 0.8705 0.5000
Be 0.3783 0.3783 0.0000
Br 0.6728 0.1728 0.5000

## Properties
- Symmetry: Imm2 (44)
- DOS(E_F): 2.6 states/eV per cell
- Total energy: -2.668 eV/atom
- Formation energy without anion corrections: 0.09 eV per atom
- Density: 3.6 g/cm3